{
  "formula": "Zn2CoNi2O6",
  "functional": "GGA+U",
  "state": "optimized geometry",
  "lattice_angstrom": [[5.065, 0.044, 0.092], [-2.465, 4.425, 0.092], [-0.909, -1.563, 4.838]],
  "species": ["O", "O", "O", "O", "O", "O", "Ni", "Ni", "Zn", "Zn", "Co"],
  "fractional_positions": [[0.237, 0.237, 0.285], [0.381, 0.046, 0.727], [0.619, 0.954, 0.273], [0.954, 0.619, 0.273], [0.046, 0.381, 0.727], [0.763, 0.763, 0.715], [0.338, 0.662, 0.500], [0.662, 0.338, 0.500], [0.831, 0.169, 0.000], [0.169, 0.831, 0.000], [0.000, 0.000, 0.500]],
  "e_tot_ev_per_atom": -4.885,
  "dos_at_fermi_per_ev_cell": 4.18
}